This record from Alexandria via LeMat-Bulk describes K2ZrHF7 at its PBEsol-relaxed geometry. The functional is meta-GGA SCAN.

The value obtained for the density of states at the Fermi level is 0.000 states/eV per atom. The value obtained for the total energy is -111.8 eV per formula unit.

Cell lengths 8.4915, 13.3035, 11.4410 Å; angles 90.00, 90.00, 90.00 degrees
Fractional positions:
K: 0.1121 0.1058 0.0667
K: 0.1121 0.3942 0.5667
K: 0.1513 0.6679 0.7401
K: 0.1513 0.8321 0.2401
K: 0.3487 0.1679 0.7401
K: 0.3487 0.3321 0.2401
K: 0.3879 0.6058 0.0667
K: 0.3879 0.8942 0.5667
K: 0.6121 0.1058 0.4333
K: 0.6121 0.3942 0.9333
K: 0.6513 0.6679 0.7599
K: 0.6513 0.8321 0.2599
K: 0.8487 0.1679 0.7599
K: 0.8487 0.3321 0.2599
K: 0.8879 0.6058 0.4333
K: 0.8879 0.8942 0.9333
Zr: 0.0944 0.1190 0.4603
Zr: 0.0944 0.3810 0.9603
Zr: 0.4056 0.6190 0.4603
Zr: 0.4056 0.8810 0.9603
Zr: 0.5944 0.1190 0.0397
Zr: 0.5944 0.3810 0.5397
Zr: 0.9056 0.6190 0.0397
Zr: 0.9056 0.8810 0.5397
H: 0.1772 0.5202 0.3067
H: 0.1772 0.9798 0.8067
H: 0.3228 0.0202 0.3067
H: 0.3228 0.4798 0.8067
H: 0.6772 0.5202 0.1933
H: 0.6772 0.9798 0.6933
H: 0.8228 0.0202 0.1933
H: 0.8228 0.4798 0.6933
F: 0.0757 0.2008 0.6092
F: 0.0757 0.2992 0.1092
F: 0.0848 0.5441 0.9369
F: 0.0848 0.9559 0.4369
F: 0.0890 0.0319 0.8161
F: 0.0890 0.4681 0.3161
F: 0.0969 0.6556 0.1304
F: 0.0969 0.8444 0.6304
F: 0.1739 0.2461 0.9073
F: 0.1739 0.2539 0.4073
F: 0.1918 0.5820 0.5284
F: 0.1918 0.9180 0.0284
F: 0.2032 0.0839 0.2998
F: 0.2032 0.4161 0.7998
F: 0.2968 0.5839 0.2998
F: 0.2968 0.9161 0.7998
F: 0.3082 0.0820 0.5284
F: 0.3082 0.4180 0.0284
F: 0.3261 0.7461 0.9073
F: 0.3261 0.7539 0.4073
F: 0.4031 0.1556 0.1304
F: 0.4031 0.3444 0.6304
F: 0.4110 0.5319 0.8161
F: 0.4110 0.9681 0.3161
F: 0.4152 0.0441 0.9369
F: 0.4152 0.4559 0.4369
F: 0.4243 0.7008 0.6092
F: 0.4243 0.7992 0.1092
F: 0.5757 0.2008 0.8908
F: 0.5757 0.2992 0.3908
F: 0.5848 0.5441 0.5631
F: 0.5848 0.9559 0.0631
F: 0.5890 0.0319 0.6839
F: 0.5890 0.4681 0.1839
F: 0.5969 0.6556 0.3696
F: 0.5969 0.8444 0.8696
F: 0.6739 0.2461 0.5927
F: 0.6739 0.2539 0.0927
F: 0.6918 0.5820 0.9716
F: 0.6918 0.9180 0.4716
F: 0.7032 0.0839 0.2002
F: 0.7032 0.4161 0.7002
F: 0.7968 0.5839 0.2002
F: 0.7968 0.9161 0.7002
F: 0.8082 0.0820 0.9716
F: 0.8082 0.4180 0.4716
F: 0.8261 0.7461 0.5927
F: 0.8261 0.7539 0.0927
F: 0.9031 0.1556 0.3696
F: 0.9031 0.3444 0.8696
F: 0.9110 0.5319 0.6839
F: 0.9110 0.9681 0.1839
F: 0.9152 0.0441 0.5631
F: 0.9152 0.4559 0.0631
F: 0.9243 0.7008 0.8908
F: 0.9243 0.7992 0.3908

This record from Alexandria via LeMat-Bulk describes MgTl2Hg at its PBEsol-relaxed geometry. The functional is meta-GGA SCAN.

The value obtained for the density of states at the Fermi level is 0.475 states/eV per atom. The formation energy comes out at -0.02 eV per atom.

Cell lengths 5.7083, 5.7083, 5.7083 Å; angles 132.65, 132.65, 69.20 degrees
Fractional positions:
Mg: 0.0000 0.0000 0.0000
Tl: 0.5000 0.5000 0.0000
Tl: 0.7500 0.2500 0.5000
Hg: 0.2500 0.7500 0.5000

This record from Alexandria via LeMat-Bulk describes Li2ReF at its PBEsol-relaxed geometry. The functional is meta-GGA SCAN.

The value obtained for the density of states at the Fermi level is 0.522 states/eV per atom. The formation energy from raw total energies comes out at 0.68 eV/atom.

Cell lengths 4.4308, 4.4308, 4.4308 Å; angles 60.00, 60.00, 60.00 degrees
Fractional positions:
Li: 0.2500 0.2500 0.2500
Li: 0.7500 0.7500 0.7500
Re: 0.0000 0.0000 0.0000
F: 0.5000 0.5000 0.5000

This record from Alexandria via LeMat-Bulk describes K3GeH2NO3 at its PBEsol-relaxed geometry. The functional is meta-GGA SCAN.

The value obtained for the density of states at the Fermi level is 0.000 states/eV per atom. The value obtained for the total energy is -92.7 eV per formula unit.

Cell lengths 6.3358, 6.6208, 7.1425 Å; angles 97.05, 102.26, 91.83 degrees
Fractional positions:
K: 0.1484 0.1968 0.4804
K: 0.2156 0.5223 0.8707
K: 0.2628 0.0866 0.0263
K: 0.7372 0.9134 0.9737
K: 0.7844 0.4777 0.1293
K: 0.8516 0.8032 0.5196
Ge: 0.2964 0.7057 0.3125
Ge: 0.7036 0.2943 0.6875
H: 0.4042 0.9038 0.6388
H: 0.4951 0.6701 0.6417
H: 0.5049 0.3299 0.3583
H: 0.5958 0.0962 0.3612
N: 0.3602 0.7507 0.5881
N: 0.6398 0.2493 0.4119
O: 0.0680 0.8454 0.2383
O: 0.2335 0.4419 0.2423
O: 0.4887 0.2118 0.7881
O: 0.5113 0.7882 0.2119
O: 0.7665 0.5581 0.7577
O: 0.9320 0.1546 0.7617

This record from Alexandria via LeMat-Bulk describes Na2ZrTeRh at its PBEsol-relaxed geometry. The functional is meta-GGA SCAN.

The value obtained for the density of states at the Fermi level is 0.610 states/eV per atom. The formation energy from raw total energies comes out at 0.73 eV/atom.

Cell lengths 5.8565, 5.8565, 4.5448 Å; angles 90.00, 90.00, 90.00 degrees
Fractional positions:
Na: 0.0000 0.5000 0.0000
Na: 0.5000 0.0000 0.0000
Zr: 0.0000 0.0000 0.0000
Te: 0.5000 0.5000 0.5000
Rh: 0.0000 0.0000 0.5000

This record from Alexandria via LeMat-Bulk describes KGaP2Cl at its PBEsol-relaxed geometry. The functional is meta-GGA SCAN.

The value obtained for the density of states at the Fermi level is 0.316 states/eV per atom. The formation energy from raw total energies comes out at 0.90 eV/atom.

Cell lengths 5.9096, 5.9096, 5.5157 Å; angles 90.00, 90.00, 90.00 degrees
Fractional positions:
K: 0.0000 0.0000 0.0000
Ga: 0.5000 0.5000 0.5000
P: 0.0000 0.5000 0.0000
P: 0.5000 0.0000 0.0000
Cl: 0.0000 0.0000 0.5000

This record from Alexandria via LeMat-Bulk describes BeAlIn2 at its PBEsol-relaxed geometry. The functional is meta-GGA SCAN.

The value obtained for the density of states at the Fermi level is 0.241 states/eV per atom. The formation energy comes out at 0.37 eV per atom. The polymorph energy (0 for the lowest one) comes out at 70.9 meV per atom.

Cell lengths 8.9699, 8.9699, 8.9699 Å; angles 151.39, 151.39, 40.91 degrees
Fractional positions:
Be: 0.0000 0.0000 0.0000
Be: 0.7500 0.2500 0.5000
Al: 0.2500 0.7500 0.5000
Al: 0.5000 0.5000 0.0000
In: 0.0938 0.6250 0.9688
In: 0.3750 0.3438 0.4688
In: 0.6562 0.1250 0.0312
In: 0.8750 0.9062 0.5312

This record from Alexandria via LeMat-Bulk describes ZnPS2Cl at its PBEsol-relaxed geometry. The functional is meta-GGA SCAN.

The value obtained for the density of states at the Fermi level is 0.839 states/eV per atom. The formation energy from raw total energies comes out at 1.30 eV/atom.

Cell lengths 4.5819, 4.5819, 4.5289 Å; angles 90.00, 90.00, 90.00 degrees
Fractional positions:
Zn: 0.0000 0.0000 0.0000
P: 0.5000 0.5000 0.0000
S: 0.0000 0.5000 0.5000
S: 0.5000 0.0000 0.5000
Cl: 0.5000 0.5000 0.5000

This record from Alexandria via LeMat-Bulk describes TaIr2Br at its PBEsol-relaxed geometry. The functional is meta-GGA SCAN.

The value obtained for the density of states at the Fermi level is 0.796 states/eV per atom. The formation energy from raw total energies comes out at 0.39 eV/atom. The polymorph energy (0 for the lowest one) comes out at 301.8 meV per atom.

Cell lengths 2.8664, 2.8664, 8.3111 Å; angles 90.00, 90.00, 90.00 degrees
Fractional positions:
Ta: 0.0000 0.0000 0.0000
Ir: 0.0000 0.0000 0.5553
Ir: 0.5000 0.5000 0.7717
Br: 0.5000 0.5000 0.2122

This record from Alexandria via LeMat-Bulk describes TlCd3 at its PBEsol-relaxed geometry. The functional is meta-GGA SCAN.

The value obtained for the density of states at the Fermi level is 0.330 states/eV per atom. The formation energy comes out at 0.07 eV per atom.

Cell lengths 5.5288, 5.5288, 3.1306 Å; angles 90.00, 90.00, 107.78 degrees
Fractional positions:
Tl: 0.0000 0.0000 0.0000
Cd: 0.0000 0.5000 0.5000
Cd: 0.5000 0.0000 0.5000
Cd: 0.5000 0.5000 0.0000

This record from Alexandria via LeMat-Bulk describes ZrCdRu2Br at its PBEsol-relaxed geometry. The functional is meta-GGA SCAN.

The value obtained for the density of states at the Fermi level is 0.739 states/eV per atom. The formation energy from raw total energies comes out at 1.28 eV/atom.

Cell lengths 4.4807, 4.4807, 5.0629 Å; angles 90.00, 90.00, 90.00 degrees
Fractional positions:
Zr: 0.0000 0.0000 0.0000
Cd: 0.5000 0.5000 0.0000
Ru: 0.0000 0.5000 0.5000
Ru: 0.5000 0.0000 0.5000
Br: 0.5000 0.5000 0.5000

This record from Alexandria via LeMat-Bulk describes Ca3TeMo at its PBEsol-relaxed geometry. The functional is meta-GGA SCAN.

The value obtained for the density of states at the Fermi level is 1.013 states/eV per atom. The formation energy from raw total energies comes out at 0.32 eV/atom.

Cell lengths 5.7701, 5.7701, 5.7701 Å; angles 90.00, 90.00, 90.00 degrees
Fractional positions:
Ca: 0.0000 0.0000 0.5000
Ca: 0.0000 0.5000 0.0000
Ca: 0.5000 0.0000 0.0000
Te: 0.0000 0.0000 0.0000
Mo: 0.5000 0.5000 0.5000

This record from Alexandria via LeMat-Bulk describes LiInAg at its PBEsol-relaxed geometry. The functional is meta-GGA SCAN.

The value obtained for the density of states at the Fermi level is 0.269 states/eV per atom. The formation energy comes out at -0.26 eV per atom.

Cell lengths 5.0920, 5.0920, 5.0920 Å; angles 140.73, 140.73, 56.75 degrees
Fractional positions:
Li: 0.0000 0.0000 0.0000
In: 0.6726 0.6726 0.0000
Ag: 0.3514 0.3514 0.0000

This record from Alexandria via LeMat-Bulk describes Ta2CuTe at its PBEsol-relaxed geometry. The functional is meta-GGA SCAN.

The value obtained for the density of states at the Fermi level is 0.921 states/eV per atom. The formation energy from raw total energies comes out at 0.27 eV/atom.

Cell lengths 5.2246, 5.2246, 5.2246 Å; angles 141.83, 128.24, 66.09 degrees
Fractional positions:
Ta: 0.0000 0.0000 0.0000
Ta: 0.7430 0.2430 0.5000
Cu: 0.4971 0.4971 0.0000
Te: 0.2614 0.7614 0.5000

This record from Alexandria via LeMat-Bulk describes InSe2BrO at its PBEsol-relaxed geometry. The functional is meta-GGA SCAN.

The value obtained for the density of states at the Fermi level is 0.357 states/eV per atom. The formation energy from raw total energies comes out at 0.04 eV/atom.

Cell lengths 4.1530, 4.1530, 6.0626 Å; angles 90.00, 90.00, 90.00 degrees
Fractional positions:
In: 0.0000 0.0000 0.0000
Se: 0.0000 0.5000 0.5000
Se: 0.5000 0.0000 0.5000
Br: 0.5000 0.5000 0.0000
O: 0.5000 0.5000 0.5000

This record from Alexandria via LeMat-Bulk describes CdNi at its PBEsol-relaxed geometry. The functional is meta-GGA SCAN.

The value obtained for the density of states at the Fermi level is 0.468 states/eV per atom. The formation energy comes out at 0.01 eV per atom.

Cell lengths 7.9553, 7.9553, 7.9553 Å; angles 60.00, 60.00, 60.00 degrees
Fractional positions:
Cd: 0.0735 0.0735 0.6765
Cd: 0.0735 0.6765 0.0735
Cd: 0.0735 0.6765 0.6765
Cd: 0.3235 0.3235 0.9265
Cd: 0.3235 0.9265 0.3235
Cd: 0.3235 0.9265 0.9265
Cd: 0.6765 0.0735 0.0735
Cd: 0.6765 0.0735 0.6765
Cd: 0.6765 0.6765 0.0735
Cd: 0.9265 0.3235 0.3235
Cd: 0.9265 0.3235 0.9265
Cd: 0.9265 0.9265 0.3235
Ni: 0.0000 0.5000 0.5000
Ni: 0.2962 0.2962 0.2962
Ni: 0.2962 0.2962 0.6114
Ni: 0.2962 0.6114 0.2962
Ni: 0.3886 0.7038 0.7038
Ni: 0.5000 0.0000 0.5000
Ni: 0.5000 0.5000 0.0000
Ni: 0.5000 0.5000 0.5000
Ni: 0.6114 0.2962 0.2962
Ni: 0.7038 0.3886 0.7038
Ni: 0.7038 0.7038 0.3886
Ni: 0.7038 0.7038 0.7038

This record from Alexandria via LeMat-Bulk describes In2SeBr at its PBEsol-relaxed geometry. The functional is meta-GGA SCAN.

The value obtained for the density of states at the Fermi level is 0.176 states/eV per atom. The formation energy from raw total energies comes out at -0.45 eV/atom. The polymorph energy (0 for the lowest one) comes out at 0.0 meV per atom.

Cell lengths 3.9430, 3.9430, 8.0048 Å; angles 90.00, 90.00, 90.00 degrees
Fractional positions:
In: 0.0000 0.0000 0.0000
In: 0.5000 0.5000 0.4574
Se: 0.0000 0.0000 0.4078
Br: 0.5000 0.5000 0.8117

This record from Alexandria via LeMat-Bulk describes Te2HPtI at its PBEsol-relaxed geometry. The functional is meta-GGA SCAN.

The value obtained for the density of states at the Fermi level is 0.524 states/eV per atom. The value obtained for the total energy is -181.5 eV per formula unit.

Cell lengths 5.2315, 5.2315, 5.6149 Å; angles 90.00, 90.00, 90.00 degrees
Fractional positions:
Te: 0.0000 0.5000 0.0000
Te: 0.5000 0.0000 0.0000
H: 0.0000 0.0000 0.5000
Pt: 0.5000 0.5000 0.0000
I: 0.5000 0.5000 0.5000

This record from Alexandria via LeMat-Bulk describes HfMoW3 at its PBEsol-relaxed geometry. The functional is meta-GGA SCAN.

The value obtained for the density of states at the Fermi level is 1.330 states/eV per atom. The formation energy comes out at 1.82 eV per atom.

Cell lengths 4.6671, 4.6671, 4.6671 Å; angles 90.00, 90.00, 90.00 degrees
Fractional positions:
Hf: 0.0000 0.0000 0.0000
Mo: 0.5000 0.5000 0.5000
W: 0.0000 0.5000 0.5000
W: 0.5000 0.0000 0.5000
W: 0.5000 0.5000 0.0000

This record from Alexandria via LeMat-Bulk describes AlSbBr2 at its PBEsol-relaxed geometry. The functional is meta-GGA SCAN.

The value obtained for the density of states at the Fermi level is 0.508 states/eV per atom. The formation energy from raw total energies comes out at -0.08 eV/atom. The polymorph energy (0 for the lowest one) comes out at 0.0 meV per atom.

Cell lengths 3.5601, 3.5601, 9.3376 Å; angles 90.00, 90.00, 119.82 degrees
Fractional positions:
Al: 0.0000 0.0000 0.0000
Sb: 0.5000 0.5000 0.7527
Br: 0.0000 0.0000 0.5120
Br: 0.5000 0.5000 0.1951